--- w ---
Density functional theory data (PBE-GGA) for crystalline MgSiP at its relaxed geometry.

```
data_MgSiP
_chemical_formula_sum 'Mg2 Si2 P2'
_cell_length_a 4.6566
_cell_length_b 5.2586
_cell_length_c 5.7644
_cell_angle_alpha 66.50
_cell_angle_beta 86.80
_cell_angle_gamma 66.47
_symmetry_space_group_name_H-M 'P 1'
_symmetry_Int_Tables_number 1
loop_
_symmetry_equiv_pos_as_xyz
'x,y,z'
loop_
_atom_site_label
_atom_site_type_symbol
_atom_site_fract_x
_atom_site_fract_y
_atom_site_fract_z
_atom_site_occupancy
Mg1 Mg 0.0000 0.0000 0.0000 1
Mg2 Mg 0.0610 0.2969 0.3446 1
Si1 Si 0.3367 0.3417 0.8291 1
Si2 Si 0.5816 0.9354 0.6934 1
P1 P 0.0003 0.7490 0.4927 1
P2 P 0.5395 0.5419 0.0339 1
```

***

--- x ---
Density functional theory data (PBE-GGA) for crystalline MgSiP at its relaxed geometry.

```
data_MgSiP
_chemical_formula_sum 'Mg2 Si2 P2'
_cell_length_a 3.9288
_cell_length_b 5.6226
_cell_length_c 6.3689
_cell_angle_alpha 70.32
_cell_angle_beta 77.45
_cell_angle_gamma 76.99
_symmetry_space_group_name_H-M 'P 1'
_symmetry_Int_Tables_number 1
loop_
_symmetry_equiv_pos_as_xyz
'x,y,z'
loop_
_atom_site_label
_atom_site_type_symbol
_atom_site_fract_x
_atom_site_fract_y
_atom_site_fract_z
_atom_site_occupancy
Mg1 Mg 0.0000 0.0000 0.0000 1
Mg2 Mg 0.2313 0.8183 0.5118 1
Si1 Si 0.9999 0.5265 0.3199 1
Si2 Si 0.5266 0.2902 0.4790 1
P1 P 0.3876 0.2315 0.1699 1
P2 P 0.6118 0.9123 0.7475 1
```

***

Preferred: x; penalty for the next structure: 26 meV/atom.

***

--- w ---
Density functional theory data (PBE-GGA) for crystalline MgSiP at its relaxed geometry.

```
data_MgSiP
_chemical_formula_sum 'Mg4 Si4 P4'
_cell_length_a 6.2106
_cell_length_b 6.2106
_cell_length_c 6.2106
_cell_angle_alpha 90.00
_cell_angle_beta 90.00
_cell_angle_gamma 90.00
_symmetry_space_group_name_H-M 'F -4 3 m'
_symmetry_Int_Tables_number 216
_symmetry_space_group_name_Hall 'F -4 2 3'
loop_
_atom_site_label
_atom_site_type_symbol
_atom_site_fract_x
_atom_site_fract_y
_atom_site_fract_z
_atom_site_occupancy
Mg1 Mg 0.0000 0.0000 0.0000 1
Si1 Si 0.2500 0.2500 0.7500 1
P1 P 0.0000 0.0000 0.5000 1
```

***

--- x ---
Density functional theory data (PBE-GGA) for crystalline MgSiP at its relaxed geometry.

```
data_MgSiP
_chemical_formula_sum 'Mg4 Si4 P4'
_cell_length_a 6.1925
_cell_length_b 6.1925
_cell_length_c 6.1925
_cell_angle_alpha 90.00
_cell_angle_beta 90.00
_cell_angle_gamma 90.00
_symmetry_space_group_name_H-M 'F -4 3 m'
_symmetry_Int_Tables_number 216
_symmetry_space_group_name_Hall 'F -4 2 3'
loop_
_atom_site_label
_atom_site_type_symbol
_atom_site_fract_x
_atom_site_fract_y
_atom_site_fract_z
_atom_site_occupancy
Mg1 Mg 0.0000 0.0000 0.0000 1
Si1 Si 0.0000 0.0000 0.5000 1
P1 P 0.2500 0.2500 0.7500 1
```

***

--- y ---
Density functional theory data (PBE-GGA) for crystalline MgSiP at its relaxed geometry.

```
data_MgSiP
_chemical_formula_sum 'Mg3 Si3 P3'
_cell_length_a 3.4754
_cell_length_b 3.4754
_cell_length_c 15.5977
_cell_angle_alpha 90.00
_cell_angle_beta 90.00
_cell_angle_gamma 120.00
_symmetry_space_group_name_H-M 'R 3 m'
_symmetry_Int_Tables_number 160
_symmetry_space_group_name_Hall 'R 3 -2"'
loop_
_atom_site_label
_atom_site_type_symbol
_atom_site_fract_x
_atom_site_fract_y
_atom_site_fract_z
_atom_site_occupancy
Mg1 Mg 0.0000 0.0000 0.0000 1
Si1 Si 0.0000 0.0000 0.7977 1
P1 P 0.0000 0.0000 0.2099 1
```

***

Preferred: y; penalty for the next structure: 350 meV/atom.

***

--- w ---
Density functional theory data (PBE-GGA) for crystalline MgSiP at its relaxed geometry.

```
data_MgSiP
_chemical_formula_sum 'Mg2 Si2 P2'
_cell_length_a 3.6679
_cell_length_b 3.6679
_cell_length_c 8.1125
_cell_angle_alpha 90.00
_cell_angle_beta 90.00
_cell_angle_gamma 90.00
_symmetry_space_group_name_H-M 'P 4/n m m'
_symmetry_Int_Tables_number 129
loop_
_symmetry_equiv_pos_as_xyz
'x,y,z'
'-x,-y,-z'
'-y+1/2,x,z'
'y+1/2,-x,-z'
'-x+1/2,-y+1/2,z'
'x+1/2,y+1/2,-z'
'y,-x+1/2,z'
'-y,x+1/2,-z'
'x+1/2,-y,-z'
'-x+1/2,y,z'
'-y,-x,-z'
'y,x,z'
'-x,y+1/2,-z'
'x,-y+1/2,z'
'y+1/2,x+1/2,-z'
'-y+1/2,-x+1/2,z'
loop_
_atom_site_label
_atom_site_type_symbol
_atom_site_fract_x
_atom_site_fract_y
_atom_site_fract_z
_atom_site_occupancy
Mg1 Mg 0.2500 0.2500 0.1505 1
Si1 Si 0.2500 0.2500 0.5384 1
P1 P 0.2500 0.2500 0.8141 1
```

***

--- x ---
Density functional theory data (PBE-GGA) for crystalline MgSiP at its relaxed geometry.

```
data_MgSiP
_chemical_formula_sum 'Mg1 Si1 P1'
_cell_length_a 3.4982
_cell_length_b 3.4982
_cell_length_c 5.1862
_cell_angle_alpha 90.00
_cell_angle_beta 90.00
_cell_angle_gamma 120.00
_symmetry_space_group_name_H-M 'P 3 m 1'
_symmetry_Int_Tables_number 156
loop_
_symmetry_equiv_pos_as_xyz
'x,y,z'
'-y,x-y,z'
'-x+y,-x,z'
'-y,-x,z'
'-x+y,y,z'
'x,x-y,z'
loop_
_atom_site_label
_atom_site_type_symbol
_atom_site_fract_x
_atom_site_fract_y
_atom_site_fract_z
_atom_site_occupancy
Mg1 Mg 0.0000 0.0000 0.0000 1
Si1 Si 0.3333 0.6667 0.3994 1
P1 P 0.6667 0.3333 0.6328 1
```

***

Preferred: w; penalty for the next structure: 147 meV/atom.

***

--- w ---
Density functional theory data (PBE-GGA) for crystalline MgSiP at its relaxed geometry.

```
data_MgSiP
_chemical_formula_sum 'Mg2 Si2 P2'
_cell_length_a 3.1796
_cell_length_b 3.1796
_cell_length_c 9.8785
_cell_angle_alpha 90.00
_cell_angle_beta 90.00
_cell_angle_gamma 90.00
_symmetry_space_group_name_H-M 'I 4 m m'
_symmetry_Int_Tables_number 107
_symmetry_space_group_name_Hall 'I 4 -2'
loop_
_atom_site_label
_atom_site_type_symbol
_atom_site_fract_x
_atom_site_fract_y
_atom_site_fract_z
_atom_site_occupancy
Mg1 Mg 0.0000 0.0000 0.0000 1
Si1 Si 0.0000 0.0000 0.7000 1
P1 P 0.0000 0.0000 0.3072 1
```

***

--- x ---
Density functional theory data (PBE-GGA) for crystalline MgSiP at its relaxed geometry.

```
data_MgSiP
_chemical_formula_sum 'Mg4 Si4 P4'
_cell_length_a 6.3545
_cell_length_b 3.5036
_cell_length_c 10.0776
_cell_angle_alpha 90.00
_cell_angle_beta 90.00
_cell_angle_gamma 90.00
_symmetry_space_group_name_H-M 'P n m a'
_symmetry_Int_Tables_number 62
loop_
_symmetry_equiv_pos_as_xyz
'x,y,z'
'-x,-y,-z'
'-x+1/2,-y,z+1/2'
'x+1/2,y,-z+1/2'
'x+1/2,-y+1/2,-z+1/2'
'-x+1/2,y+1/2,z+1/2'
'-x,y+1/2,-z'
'x,-y+1/2,z'
loop_
_atom_site_label
_atom_site_type_symbol
_atom_site_fract_x
_atom_site_fract_y
_atom_site_fract_z
_atom_site_occupancy
Mg1 Mg 0.0997 0.2500 0.1503 1
Si1 Si 0.0333 0.7500 0.3630 1
P1 P 0.2238 0.2500 0.4702 1
```

***

--- y ---
Density functional theory data (PBE-GGA) for crystalline MgSiP at its relaxed geometry.

```
data_MgSiP
_chemical_formula_sum 'Mg2 Si2 P2'
_cell_length_a 3.9194
_cell_length_b 5.4147
_cell_length_c 6.1927
_cell_angle_alpha 96.89
_cell_angle_beta 106.75
_cell_angle_gamma 107.19
_symmetry_space_group_name_H-M 'P 1'
_symmetry_Int_Tables_number 1
loop_
_symmetry_equiv_pos_as_xyz
'x,y,z'
loop_
_atom_site_label
_atom_site_type_symbol
_atom_site_fract_x
_atom_site_fract_y
_atom_site_fract_z
_atom_site_occupancy
Mg1 Mg 0.0000 0.0000 0.0000 1
Mg2 Mg 0.3948 0.6357 0.2388 1
Si1 Si 0.3601 0.9887 0.5710 1
Si2 Si 0.9775 0.2661 0.5762 1
P1 P 0.2856 0.6927 0.8100 1
P2 P 0.7356 0.3053 0.2093 1
```

***

--- z ---
Density functional theory data (PBE-GGA) for crystalline MgSiP at its relaxed geometry.

```
data_MgSiP
_chemical_formula_sum 'Mg2 Si2 P2'
_cell_length_a 4.0718
_cell_length_b 5.6741
_cell_length_c 5.9704
_cell_angle_alpha 105.20
_cell_angle_beta 94.50
_cell_angle_gamma 98.78
_symmetry_space_group_name_H-M 'P 1'
_symmetry_Int_Tables_number 1
loop_
_symmetry_equiv_pos_as_xyz
'x,y,z'
loop_
_atom_site_label
_atom_site_type_symbol
_atom_site_fract_x
_atom_site_fract_y
_atom_site_fract_z
_atom_site_occupancy
Mg1 Mg 0.0000 0.0000 0.0000 1
Mg2 Mg 0.4233 0.3430 0.6101 1
Si1 Si 0.2710 0.8592 0.3858 1
Si2 Si 0.7042 0.6265 0.2636 1
P1 P 0.5607 0.2607 0.0046 1
P2 P 0.9985 0.6415 0.6198 1
```

***

Preferred: z; penalty for the next structure: 6 meV/atom.

***

--- w ---
Density functional theory data (PBE-GGA) for crystalline MgSiP at its relaxed geometry.

```
data_MgSiP
_chemical_formula_sum 'Mg2 Si2 P2'
_cell_length_a 3.3270
_cell_length_b 3.3270
_cell_length_c 10.9178
_cell_angle_alpha 90.00
_cell_angle_beta 90.00
_cell_angle_gamma 120.00
_symmetry_space_group_name_H-M 'P -6 m 2'
_symmetry_Int_Tables_number 187
_symmetry_space_group_name_Hall 'P -6 2'
loop_
_atom_site_label
_atom_site_type_symbol
_atom_site_fract_x
_atom_site_fract_y
_atom_site_fract_z
_atom_site_occupancy
Mg1 Mg 0.0000 0.0000 0.1874 1
Si1 Si 0.6667 0.3333 0.0000 1
Si2 Si 0.6667 0.3333 0.5000 1
P1 P 0.3333 0.6667 0.3619 1
```

***

--- x ---
Density functional theory data (PBE-GGA) for crystalline MgSiP at its relaxed geometry.

```
data_MgSiP
_chemical_formula_sum 'Mg2 Si2 P2'
_cell_length_a 5.2812
_cell_length_b 5.2946
_cell_length_c 5.3129
_cell_angle_alpha 82.78
_cell_angle_beta 71.25
_cell_angle_gamma 65.49
_symmetry_space_group_name_H-M 'P 1'
_symmetry_Int_Tables_number 1
loop_
_symmetry_equiv_pos_as_xyz
'x,y,z'
loop_
_atom_site_label
_atom_site_type_symbol
_atom_site_fract_x
_atom_site_fract_y
_atom_site_fract_z
_atom_site_occupancy
Mg1 Mg 0.0000 0.0000 0.0000 1
Mg2 Mg 0.3412 0.4933 0.5868 1
Si1 Si 0.5829 0.8054 0.7846 1
Si2 Si 0.9109 0.4533 0.4490 1
P1 P 0.8913 0.0164 0.5276 1
P2 P 0.9076 0.5327 0.0156 1
```

***

--- y ---
Density functional theory data (PBE-GGA) for crystalline MgSiP at its relaxed geometry.

```
data_MgSiP
_chemical_formula_sum 'Mg2 Si2 P2'
_cell_length_a 4.1736
_cell_length_b 4.2002
_cell_length_c 8.4381
_cell_angle_alpha 89.46
_cell_angle_beta 90.00
_cell_angle_gamma 60.23
_symmetry_space_group_name_H-M 'P 1'
_symmetry_Int_Tables_number 1
loop_
_symmetry_equiv_pos_as_xyz
'x,y,z'
loop_
_atom_site_label
_atom_site_type_symbol
_atom_site_fract_x
_atom_site_fract_y
_atom_site_fract_z
_atom_site_occupancy
Mg1 Mg 0.0000 0.0000 0.0000 1
Mg2 Mg 0.3132 0.3699 0.7406 1
Si1 Si 0.0889 0.0229 0.4139 1
Si2 Si 0.4227 0.3556 0.3268 1
P1 P 0.3312 0.3342 0.0627 1
P2 P 0.9783 0.0358 0.6780 1
```

***

--- z ---
Density functional theory data (PBE-GGA) for crystalline MgSiP at its relaxed geometry.

```
data_MgSiP
_chemical_formula_sum 'Mg2 Si2 P2'
_cell_length_a 3.8559
_cell_length_b 5.1673
_cell_length_c 6.6567
_cell_angle_alpha 69.66
_cell_angle_beta 77.46
_cell_angle_gamma 69.56
_symmetry_space_group_name_H-M 'P 1'
_symmetry_Int_Tables_number 1
loop_
_symmetry_equiv_pos_as_xyz
'x,y,z'
loop_
_atom_site_label
_atom_site_type_symbol
_atom_site_fract_x
_atom_site_fract_y
_atom_site_fract_z
_atom_site_occupancy
Mg1 Mg 0.0000 0.0000 0.0000 1
Mg2 Mg 0.2511 0.6017 0.7144 1
Si1 Si 0.5267 0.1613 0.3666 1
Si2 Si 0.9800 0.4155 0.1876 1
P1 P 0.4851 0.7711 0.2933 1
P2 P 0.5712 0.0122 0.7223 1
```

***

Preferred: y; penalty for the next structure: 76 meV/atom.